No. 1
# Mg2MoAu

An optimized crystal structure of Mg2MoAu (PBE-GGA, Alexandria).

Unit cell a=4.1427 b=4.1427 c=8.2688 alpha=90.00 beta=90.00 gamma=90.00
With the nearest neighbours (Å) after each atom.
Space group I4/mmm (No. 139)
Asymmetric unit:
Mg 0.0000 0.5000 0.2500 x4  4 Mo 2.93, 4 Au 2.93, 4 Mg 2.93
Mo 0.0000 0.0000 0.0000 x2  8 Mg 2.93, 4 Au 2.93
Au 0.0000 0.0000 0.5000 x2  8 Mg 2.93, 4 Mo 2.93

No. 2
# MgMoAu

An optimized crystal structure of MgMoAu (PBE-GGA, Alexandria).

Unit cell a=6.2382 b=6.2382 c=6.2382 alpha=90.00 beta=90.00 gamma=90.00
With the nearest neighbours (Å) after each atom.
Space group F-43m (No. 216)
Asymmetric unit:
Mg 0.0000 0.0000 0.0000 x4  4 Au 2.70
Mo 0.0000 0.0000 0.5000 x4  4 Au 2.70
Au 0.2500 0.2500 0.7500 x4  4 Mo 2.70, 4 Mg 2.70

No. 3
# Mg2MoAu

An optimized crystal structure of Mg2MoAu (PBE-GGA, Alexandria).

Unit cell a=2.9499 b=2.9499 c=29.2456 alpha=90.00 beta=90.00 gamma=120.00
With the nearest neighbours (Å) after each atom.
Space group R3m (No. 160, hexagonal axes)
Asymmetric unit:
Mg 0.0000 0.0000 0.0000 x3  3 Mo 2.91, 9 Mg 2.95-3.23
Mg 0.0000 0.0000 0.2394 x3  3 Au 2.87, 6 Mg 2.95
Mo 0.0000 0.0000 0.7473 x3  3 Au 2.89, 3 Mg 2.91, 6 Mo 2.95
Au 0.0000 0.0000 0.4937 x3  3 Mg 2.87, 3 Mo 2.89, 6 Au 2.95

No. 4
# MgMo2Au

An optimized crystal structure of MgMo2Au (PBE-GGA, Alexandria).

Unit cell a=2.7296 b=2.7296 c=9.0059 alpha=90.00 beta=90.00 gamma=90.00
With the nearest neighbours (Å) after each atom.
Space group P4mm (No. 99)
Asymmetric unit:
Mg 0.0000 0.0000 0.0000 x1  4 Mg 2.73, 4 Au 2.93, 4 Mo 3.00
Mo 0.0000 0.0000 0.5094 x1  8 Mo 2.73-2.99, 4 Au 2.94
Mo 0.5000 0.5000 0.2552 x1  8 Mo 2.73-2.99, 4 Mg 3.00
Au 0.5000 0.5000 0.7553 x1  4 Au 2.73, 4 Mg 2.93, 4 Mo 2.94

No. 5
# MgMo2Au

An optimized crystal structure of MgMo2Au (PBE-GGA, Alexandria).

Unit cell a=9.3769 b=2.6933 c=5.3393 alpha=90.00 beta=94.54 gamma=90.00
With the nearest neighbours (Å) after each atom.
Space group Cm (No. 8)
Asymmetric unit:
Mg 0.0000 0.0000 0.0000 x2  2 Mg 2.69, 3 Au 2.71-2.83, 3 Mo 2.86-2.93
Mo 0.0160 0.5000 0.4882 x2  3 Mo 2.57-2.69
Mo 0.2565 0.5000 0.2895 x2  3 Mo 2.57-2.69, 1 Mg 2.86
Au 0.2535 0.0000 0.7902 x2  2 Au 2.69, 3 Mg 2.71-2.83, 6 Mo 2.97-3.00

No. 6
# MgMo2Au

An optimized crystal structure of MgMo2Au (PBE-GGA, Alexandria).

Unit cell a=3.7900 b=3.7900 c=9.1457 alpha=90.00 beta=90.00 gamma=90.00
With the nearest neighbours (Å) after each atom.
Space group I4/mmm (No. 139)
Asymmetric unit:
Mg 0.0000 0.0000 0.0000 x2  4 Au 2.68, 8 Mo 2.97
Mo 0.0000 0.5000 0.2500 x4  4 Mo 2.68, 4 Mg 2.97, 4 Au 2.97
Au 0.0000 0.0000 0.5000 x2  4 Mg 2.68, 8 Mo 2.97

No. 7
# MgMoAu3

An optimized crystal structure of MgMoAu3 (PBE-GGA, Alexandria).

Unit cell a=4.6850 b=4.6850 c=4.6850 alpha=90.00 beta=90.00 gamma=90.00
With the nearest neighbours (Å) after each atom.
Space group Pm-3m (No. 221)
Asymmetric unit:
Mg 0.0000 0.0000 0.0000 x1  6 Au 2.34
Mo 0.5000 0.5000 0.5000 x1  12 Au 3.31
Au 0.0000 0.0000 0.5000 x3  2 Mg 2.34

No. 8
# Mg2MoAu

An optimized crystal structure of Mg2MoAu (PBE-GGA, Alexandria).

Unit cell a=2.8912 b=3.8785 c=6.2207 alpha=90.00 beta=90.00 gamma=90.00
With the nearest neighbours (Å) after each atom.
Space group Pmmm (No. 47)
Asymmetric unit:
Mg 0.0000 0.0000 0.2480 x2  4 Au 2.87, 4 Mo 2.88, 4 Mg 2.89-3.13
Mo 0.5000 0.5000 0.5000 x1  8 Mg 2.88, 2 Mo 2.89, 2 Au 3.11
Au 0.5000 0.5000 0.0000 x1  8 Mg 2.87, 2 Au 2.89, 2 Mo 3.11

| no. | theoretical density (g/cm3) | calculated formation energy (meV/atom) | size of the total moment (μB per formula unit) |
| --- | --- | --- | --- |
| 1 | 7.99 | 214 | 1.14 |
| 2 | 8.68 | 537 | 1.06 |
| 3 | 7.72 | 174 | 0.00 |
| 4 | 10.22 | 161 | 0.00 |
| 5 | 10.21 | 188 | 0.00 |
| 6 | 10.44 | 85 | 0.00 |
| 7 | 11.48 | 1100 | 0.00 |
| 8 | 8.13 | 80 | 0.00 |